The following is a DFT calculation (PBE) of a geometry-optimized CePaCuS4 structure.

Properties
Fermi-level density of states: 17.18 states/eV per cell
DFT total energy: -92.1 eV per cell
Formation energy without anion corrections: -965.9 kJ/mol of formula units

Cell: 6.348 6.306 7.641 Å, 90.00 107.05 90.00°
Sites, in units of the cell vectors:
Ce (0.231, 0.250, 0.056)
Ce (0.769, 0.750, 0.944)
Pa (0.226, 0.250, 0.556)
Pa (0.774, 0.750, 0.444)
Cu (0.240, 0.750, 0.317)
Cu (0.760, 0.250, 0.683)
S (0.019, 0.512, 0.744)
S (0.019, 0.988, 0.744)
S (0.445, 0.750, 0.121)
S (0.450, 0.750, 0.609)
S (0.550, 0.250, 0.391)
S (0.555, 0.250, 0.879)
S (0.981, 0.012, 0.256)
S (0.981, 0.488, 0.256)